No. 1
# DyEr2Rh4 PBE optimized geometry
# Theoretical density ... 10.57 Mg/m³
# M_tot ... 0.000 μB per formula unit
# Crystal system ... trigonal
# V ... 143 Å³/f.u.
# N(E_F) ... 10.22 states/eV per cell
# E_tot ... -6.735 eV/atom
# E_form ... -0.573 eV per atom
data_DyEr2Rh4
_cell_length_a 4.6302
_cell_length_b 4.6302
_cell_length_c 23.0568
_cell_angle_alpha 90.00
_cell_angle_beta 90.00
_cell_angle_gamma 120.00
_symmetry_space_group_name_H-M 'R -3 m'
_symmetry_Int_Tables_number 166
_symmetry_space_group_name_Hall '-R 3 2"'
loop_
_atom_site_label
_atom_site_type_symbol
_atom_site_fract_x
_atom_site_fract_y
_atom_site_fract_z
Dy1 Dy 0.0000 0.0000 0.0000
Er1 Er 0.0000 0.0000 0.2391
Rh1 Rh 0.0000 0.0000 0.1214
Rh2 Rh 0.0000 0.0000 0.3759



No. 2
# Dy3ErRh4 PBE optimized geometry
# Theoretical density ... 11.09 Mg/m³
# M_tot ... 0.000 μB per formula unit
# Crystal system ... monoclinic
# V ... 160 Å³/f.u.
# N(E_F) ... 8.80 states/eV per cell
# E_tot ... -6.865 eV/atom
# E_form ... -0.893 eV per atom
data_Dy3ErRh4
_cell_length_a 14.525
_cell_length_b 4.826
_cell_length_c 4.826
_cell_angle_alpha 90.00
_cell_angle_beta 109.32
_cell_angle_gamma 90.00
_symmetry_space_group_name_H-M 'C 1 2/m 1'
_symmetry_Int_Tables_number 12
_symmetry_space_group_name_Hall '-C 2y'
loop_
_atom_site_label
_atom_site_type_symbol
_atom_site_fract_x
_atom_site_fract_y
_atom_site_fract_z
Dy1 Dy 0.000 0.000 0.000
Dy2 Dy 0.250 0.000 0.250
Er1 Er 0.000 0.500 0.500
Rh1 Rh 0.124 0.000 0.624
Rh2 Rh 0.124 0.500 0.124



No. 3
# Dy5ErRh6 PBE optimized geometry
# Theoretical density ... 11.05 Mg/m³
# M_tot ... 0.000 μB per formula unit
# Crystal system ... orthorhombic
# V ... 240 Å³/f.u.
# N(E_F) ... 13.78 states/eV per cell
# E_tot ... -6.860 eV/atom
# E_form ... -0.886 eV per atom
data_Dy5ErRh6
_cell_length_a 4.828
_cell_length_b 14.496
_cell_length_c 6.858
_cell_angle_alpha 90.00
_cell_angle_beta 90.00
_cell_angle_gamma 90.00
_symmetry_space_group_name_H-M 'C m m m'
_symmetry_Int_Tables_number 65
_symmetry_space_group_name_Hall '-C 2 2'
loop_
_atom_site_label
_atom_site_type_symbol
_atom_site_fract_x
_atom_site_fract_y
_atom_site_fract_z
Dy1 Dy 0.000 0.000 0.000
Dy2 Dy 0.000 0.333 0.000
Dy3 Dy 0.000 0.334 0.500
Er1 Er 0.000 0.000 0.500
Rh1 Rh 0.000 0.166 0.251
Rh2 Rh 0.000 0.500 0.252



No. 4
# Dy2ErRh9 PBE optimized geometry
# Theoretical density ... 11.26 Mg/m³
# M_tot ... 0.000 μB per formula unit
# Crystal system ... trigonal
# V ... 209 Å³/f.u.
# N(E_F) ... 37.11 states/eV per cell
# E_tot ... -7.229 eV/atom
# E_form ... -0.568 eV per atom
data_Dy2ErRh9
_cell_length_a 5.2448
_cell_length_b 5.2448
_cell_length_c 26.3518
_cell_angle_alpha 90.00
_cell_angle_beta 90.00
_cell_angle_gamma 120.00
_symmetry_space_group_name_H-M 'R -3 m'
_symmetry_Int_Tables_number 166
_symmetry_space_group_name_Hall '-R 3 2"'
loop_
_atom_site_label
_atom_site_type_symbol
_atom_site_fract_x
_atom_site_fract_y
_atom_site_fract_z
Dy1 Dy 0.0000 0.0000 0.1388
Er1 Er 0.0000 0.0000 0.0000
Rh1 Rh 0.0000 0.0000 0.3330
Rh2 Rh 0.0000 0.0000 0.5000
Rh3 Rh 0.9996 0.4998 0.0825



No. 5
# Dy2Er5Rh4 PBE optimized geometry
# Theoretical density ... 9.45 Mg/m³
# M_tot ... 0.000 μB per formula unit
# Crystal system ... monoclinic
# V ... 276 Å³/f.u.
# N(E_F) ... 16.26 states/eV per cell
# E_tot ... -6.094 eV/atom
# E_form ... -0.510 eV per atom
data_Dy2Er5Rh4
_cell_length_a 22.895
_cell_length_b 3.520
_cell_length_c 6.914
_cell_angle_alpha 90.00
_cell_angle_beta 97.03
_cell_angle_gamma 90.00
_symmetry_space_group_name_H-M 'C 1 2/m 1'
_symmetry_Int_Tables_number 12
_symmetry_space_group_name_Hall '-C 2y'
loop_
_atom_site_label
_atom_site_type_symbol
_atom_site_fract_x
_atom_site_fract_y
_atom_site_fract_z
Dy1 Dy 0.229 0.000 0.272
Er1 Er 0.000 0.000 0.000
Er2 Er 0.098 0.500 0.401
Er3 Er 0.130 0.500 0.894
Rh1 Rh 0.022 0.500 0.705
Rh2 Rh 0.177 0.000 0.630



No. 6
# Dy3Er2Rh2 PBE optimized geometry
# Theoretical density ... 9.47 Mg/m³
# M_tot ... 0.000 μB per formula unit
# Crystal system ... monoclinic
# V ... 180 Å³/f.u.
# N(E_F) ... 12.11 states/eV per cell
# E_tot ... -5.967 eV/atom
# E_form ... -0.591 eV per atom
data_Dy3Er2Rh2
_cell_length_a 11.954
_cell_length_b 3.794
_cell_length_c 8.843
_cell_angle_alpha 90.00
_cell_angle_beta 116.07
_cell_angle_gamma 90.00
_symmetry_space_group_name_H-M 'C 1 2/m 1'
_symmetry_Int_Tables_number 12
_symmetry_space_group_name_Hall '-C 2y'
loop_
_atom_site_label
_atom_site_type_symbol
_atom_site_fract_x
_atom_site_fract_y
_atom_site_fract_z
Dy1 Dy 0.000 0.000 0.000
Dy2 Dy 0.115 0.000 0.430
Er1 Er 0.167 0.500 0.809
Rh1 Rh 0.179 0.500 0.239



No. 7
# Dy2ErRh4 PBE optimized geometry
# Theoretical density ... 10.47 Mg/m³
# M_tot ... 0.000 μB per formula unit
# Crystal system ... tetragonal
# V ... 143 Å³/f.u.
# N(E_F) ... 5.69 states/eV per cell
# E_tot ... -6.719 eV/atom
# E_form ... -0.552 eV per atom
data_Dy2ErRh4
_cell_length_a 4.836
_cell_length_b 4.836
_cell_length_c 12.255
_cell_angle_alpha 90.00
_cell_angle_beta 90.00
_cell_angle_gamma 90.00
_symmetry_space_group_name_H-M 'I 4/m m m'
_symmetry_Int_Tables_number 139
_symmetry_space_group_name_Hall '-I 4 2'
loop_
_atom_site_label
_atom_site_type_symbol
_atom_site_fract_x
_atom_site_fract_y
_atom_site_fract_z
Dy1 Dy 0.000 0.000 0.223
Er1 Er 0.000 0.000 0.500
Rh1 Rh 0.000 0.500 0.121



No. 8
# Dy3Er4Rh4 PBE optimized geometry
# Theoretical density ... 10.07 Mg/m³
# M_tot ... 0.009 μB per formula unit
# Crystal system ... orthorhombic
# V ... 259 Å³/f.u.
# N(E_F) ... 14.57 states/eV per cell
# E_tot ... -6.251 eV/atom
# E_form ... -0.663 eV per atom
data_Dy3Er4Rh4
_cell_length_a 3.732
_cell_length_b 8.801
_cell_length_c 15.750
_cell_angle_alpha 90.00
_cell_angle_beta 90.00
_cell_angle_gamma 90.00
_symmetry_space_group_name_H-M 'I m m m'
_symmetry_Int_Tables_number 71
_symmetry_space_group_name_Hall '-I 2 2'
loop_
_atom_site_label
_atom_site_type_symbol
_atom_site_fract_x
_atom_site_fract_y
_atom_site_fract_z
Dy1 Dy 0.000 0.000 0.000
Dy2 Dy 0.000 0.500 0.103
Er1 Er 0.000 0.312 0.335
Rh1 Rh 0.000 0.000 0.249
Rh2 Rh 0.000 0.211 0.500